Computed, not measured: a relaxed structure of Dy3YBi2 at the PBE level of DFT.

Crystal system ... monoclinic
Magnetic moment ... 0.000 μB/atom
Polymorph energy (0 for the lowest one) ... 0.65 eV per formula unit

Cell and atoms, written as CIF:
```
data_Dy3YBi2
_cell_length_a 18.575
_cell_length_b 4.325
_cell_length_c 10.021
_cell_angle_alpha 90.00
_cell_angle_beta 113.87
_cell_angle_gamma 90.00
_symmetry_space_group_name_H-M 'C 1 2/m 1'
_symmetry_Int_Tables_number 12
_symmetry_space_group_name_Hall '-C 2y'
loop_
_atom_site_label
_atom_site_type_symbol
_atom_site_fract_x
_atom_site_fract_y
_atom_site_fract_z
_atom_site_occupancy
Dy1 Dy 0.056 0.000 0.170 1
Dy2 Dy 0.141 0.500 0.978 1
Dy3 Dy 0.188 0.500 0.391 1
Y1 Y 0.110 0.000 0.609 1
Bi1 Bi 0.008 0.500 0.342 1
Bi2 Bi 0.248 0.500 0.782 1
```


Computed, not measured: a relaxed structure of Dy3YBi2 at the PBE level of DFT.

Crystal system ... tetragonal
Magnetic moment ... 0.000 μB/atom
Polymorph energy (0 for the lowest one) ... 0.00 eV per formula unit

Cell and atoms, written as CIF:
```
data_Dy3YBi2
_cell_length_a 4.562
_cell_length_b 4.562
_cell_length_c 8.615
_cell_angle_alpha 90.00
_cell_angle_beta 90.00
_cell_angle_gamma 90.00
_symmetry_space_group_name_H-M 'P -4 m 2'
_symmetry_Int_Tables_number 115
_symmetry_space_group_name_Hall 'P -4 -2'
loop_
_atom_site_label
_atom_site_type_symbol
_atom_site_fract_x
_atom_site_fract_y
_atom_site_fract_z
_atom_site_occupancy
Dy1 Dy 0.000 0.000 0.000 1
Dy2 Dy 0.000 0.500 0.654 1
Y1 Y 0.500 0.500 0.000 1
Bi1 Bi 0.000 0.500 0.284 1
```


Computed, not measured: a relaxed structure of Dy5YBi6 at the PBE level of DFT.

Crystal system ... monoclinic
Magnetic moment ... 0.000 μB/atom

Cell and atoms, written as CIF:
```
data_Dy5YBi6
_cell_length_a 7.759
_cell_length_b 13.437
_cell_length_c 7.756
_cell_angle_alpha 90.00
_cell_angle_beta 109.48
_cell_angle_gamma 90.00
_symmetry_space_group_name_H-M 'C 1 2/m 1'
_symmetry_Int_Tables_number 12
_symmetry_space_group_name_Hall '-C 2y'
loop_
_atom_site_label
_atom_site_type_symbol
_atom_site_fract_x
_atom_site_fract_y
_atom_site_fract_z
_atom_site_occupancy
Dy1 Dy 0.000 0.000 0.000 1
Dy2 Dy 0.000 0.167 0.500 1
Dy3 Dy 0.000 0.334 0.000 1
Y1 Y 0.000 0.500 0.500 1
Bi1 Bi 0.249 0.000 0.750 1
Bi2 Bi 0.250 0.167 0.250 1
```


Computed, not measured: a relaxed structure of DyY2Bi2 at the PBE level of DFT.

Crystal system ... monoclinic
Magnetic moment ... 0.000 μB/atom

Cell and atoms, written as CIF:
```
data_DyY2Bi2
_cell_length_a 17.688
_cell_length_b 4.375
_cell_length_c 8.716
_cell_angle_alpha 90.00
_cell_angle_beta 104.26
_cell_angle_gamma 90.00
_symmetry_space_group_name_H-M 'C 1 2/m 1'
_symmetry_Int_Tables_number 12
_symmetry_space_group_name_Hall '-C 2y'
loop_
_atom_site_label
_atom_site_type_symbol
_atom_site_fract_x
_atom_site_fract_y
_atom_site_fract_z
_atom_site_occupancy
Dy1 Dy 0.180 0.000 0.340 1
Y1 Y 0.000 0.500 0.250 1
Y2 Y 0.181 0.000 0.840 1
Bi1 Bi 0.135 0.500 0.068 1
Bi2 Bi 0.135 0.500 0.567 1
```


Computed, not measured: a relaxed structure of DyYBi at the PBE level of DFT.

Crystal system ... monoclinic
Magnetic moment ... 0.352 μB/atom

Cell and atoms, written as CIF:
```
data_DyYBi
_cell_length_a 11.595
_cell_length_b 4.050
_cell_length_c 8.092
_cell_angle_alpha 90.00
_cell_angle_beta 110.42
_cell_angle_gamma 90.00
_symmetry_space_group_name_H-M 'C 1 2/m 1'
_symmetry_Int_Tables_number 12
_symmetry_space_group_name_Hall '-C 2y'
loop_
_atom_site_label
_atom_site_type_symbol
_atom_site_fract_x
_atom_site_fract_y
_atom_site_fract_z
_atom_site_occupancy
Dy1 Dy 0.155 0.000 0.073 1
Y1 Y 0.158 0.000 0.584 1
Bi1 Bi 0.006 0.500 0.255 1
```


Computed, not measured: a relaxed structure of DyYBi at the PBE level of DFT.

Crystal system ... tetragonal
Magnetic moment ... 0.344 μB/atom

Cell and atoms, written as CIF:
```
data_DyYBi
_cell_length_a 4.053
_cell_length_b 4.053
_cell_length_c 10.826
_cell_angle_alpha 90.00
_cell_angle_beta 90.00
_cell_angle_gamma 90.00
_symmetry_space_group_name_H-M 'I 4 m m'
_symmetry_Int_Tables_number 107
_symmetry_space_group_name_Hall 'I 4 -2'
loop_
_atom_site_label
_atom_site_type_symbol
_atom_site_fract_x
_atom_site_fract_y
_atom_site_fract_z
_atom_site_occupancy
Dy1 Dy 0.000 0.000 0.000 1
Y1 Y 0.000 0.000 0.686 1
Bi1 Bi 0.000 0.000 0.343 1
```


Computed, not measured: a relaxed structure of Dy5Y5Bi6 at the PBE level of DFT.

Crystal system ... orthorhombic
Magnetic moment ... 0.020 μB/atom

Cell and atoms, written as CIF:
```
data_Dy5Y5Bi6
_cell_length_a 6.390
_cell_length_b 15.923
_cell_length_c 9.193
_cell_angle_alpha 90.00
_cell_angle_beta 90.00
_cell_angle_gamma 90.00
_symmetry_space_group_name_H-M 'A m m 2'
_symmetry_Int_Tables_number 38
_symmetry_space_group_name_Hall 'A 2 -2'
loop_
_atom_site_label
_atom_site_type_symbol
_atom_site_fract_x
_atom_site_fract_y
_atom_site_fract_z
_atom_site_occupancy
Dy1 Dy 0.000 0.000 0.000 1
Dy2 Dy 0.250 0.167 0.256 1
Y1 Y 0.000 0.122 0.633 1
Y2 Y 0.500 0.000 0.511 1
Y3 Y 0.500 0.122 0.878 1
Bi1 Bi 0.000 0.000 0.366 1
Bi2 Bi 0.000 0.194 0.950 1
Bi3 Bi 0.500 0.000 0.144 1
Bi4 Bi 0.500 0.194 0.561 1
```


Computed, not measured: a relaxed structure of DyYBi2 at the PBE level of DFT.

Crystal system ... trigonal
Magnetic moment ... 0.000 μB/atom
Polymorph energy (0 for the lowest one) ... 0.41 eV per formula unit

Cell and atoms, written as CIF:
```
data_DyYBi2
_cell_length_a 4.4456
_cell_length_b 4.4456
_cell_length_c 22.8022
_cell_angle_alpha 90.00
_cell_angle_beta 90.00
_cell_angle_gamma 120.00
_symmetry_space_group_name_H-M 'R 3 m'
_symmetry_Int_Tables_number 160
_symmetry_space_group_name_Hall 'R 3 -2"'
loop_
_atom_site_label
_atom_site_type_symbol
_atom_site_fract_x
_atom_site_fract_y
_atom_site_fract_z
_atom_site_occupancy
Dy1 Dy 0.0000 0.0000 0.0000 1
Y1 Y 0.0000 0.0000 0.1705 1
Bi1 Bi 0.0000 0.0000 0.5838 1
Bi2 Bi 0.0000 0.0000 0.7531 1
```


Computed, not measured: a relaxed structure of DyY2Bi at the PBE level of DFT.

Crystal system ... orthorhombic
Magnetic moment ... 0.001 μB/atom
Polymorph energy (0 for the lowest one) ... 0.00 eV per formula unit

Cell and atoms, written as CIF:
```
data_DyY2Bi
_cell_length_a 4.151
_cell_length_b 12.494
_cell_length_c 9.671
_cell_angle_alpha 90.00
_cell_angle_beta 90.00
_cell_angle_gamma 90.00
_symmetry_space_group_name_H-M 'C m c m'
_symmetry_Int_Tables_number 63
_symmetry_space_group_name_Hall '-C 2c 2'
loop_
_atom_site_label
_atom_site_type_symbol
_atom_site_fract_x
_atom_site_fract_y
_atom_site_fract_z
_atom_site_occupancy
Dy1 Dy 0.000 0.057 0.250 1
Y1 Y 0.000 0.367 0.046 1
Bi1 Bi 0.000 0.242 0.750 1
```


Computed, not measured: a relaxed structure of DyYBi at the PBE level of DFT.

Crystal system ... trigonal
Magnetic moment ... 0.000 μB/atom

Cell and atoms, written as CIF:
```
data_DyYBi
_cell_length_a 5.2563
_cell_length_b 5.2563
_cell_length_c 3.8816
_cell_angle_alpha 90.00
_cell_angle_beta 90.00
_cell_angle_gamma 120.00
_symmetry_space_group_name_H-M 'P 3 m 1'
_symmetry_Int_Tables_number 156
_symmetry_space_group_name_Hall 'P 3 -2"'
loop_
_atom_site_label
_atom_site_type_symbol
_atom_site_fract_x
_atom_site_fract_y
_atom_site_fract_z
_atom_site_occupancy
Dy1 Dy 0.0000 0.0000 0.0000 1
Y1 Y 0.3333 0.6667 0.5282 1
Bi1 Bi 0.6667 0.3333 0.2619 1
```


Computed, not measured: a relaxed structure of Dy5Y2Bi4 at the PBE level of DFT.

Crystal system ... monoclinic
Magnetic moment ... 0.000 μB/atom

Cell and atoms, written as CIF:
```
data_Dy5Y2Bi4
_cell_length_a 25.234
_cell_length_b 3.509
_cell_length_c 8.151
_cell_angle_alpha 90.00
_cell_angle_beta 91.05
_cell_angle_gamma 90.00
_symmetry_space_group_name_H-M 'C 1 2/m 1'
_symmetry_Int_Tables_number 12
_symmetry_space_group_name_Hall '-C 2y'
loop_
_atom_site_label
_atom_site_type_symbol
_atom_site_fract_x
_atom_site_fract_y
_atom_site_fract_z
_atom_site_occupancy
Dy1 Dy 0.000 0.000 0.000 1
Dy2 Dy 0.139 0.500 0.053 1
Dy3 Dy 0.170 0.500 0.486 1
Y1 Y 0.232 0.000 0.819 1
Bi1 Bi 0.049 0.500 0.309 1
Bi2 Bi 0.099 0.000 0.740 1
```


Number 1: formation enthalpy at 0 K -489 meV/atom. Number 2: formation enthalpy at 0 K -598 meV/atom. Number 3: formation enthalpy at 0 K -866 meV/atom. Number 4: formation enthalpy at 0 K -614 meV/atom. Number 5: formation enthalpy at 0 K -480 meV/atom. Number 6: formation enthalpy at 0 K -480 meV/atom. Number 7: formation enthalpy at 0 K -714 meV/atom. Number 8: formation enthalpy at 0 K -776 meV/atom. Number 9: formation enthalpy at 0 K -414 meV/atom. Number 10: formation enthalpy at 0 K -280 meV/atom. Number 11: formation enthalpy at 0 K -210 meV/atom.